Computed, not measured: a relaxed Tl4Sn6Au crystal at the PBE level of DFT.

Properties
Crystal system = hexagonal
Formation energy = 0.09 eV/atom
DOS(E_F) = 0.448 states/eV per atom
Space-group type = P6_3mc
Calculated volume = 732.4 Å³ per cell

a = 9.656 Å, b = 9.656 Å, c = 9.070 Å
α = 90.00°, β = 90.00°, γ = 120.00°
Element x y z (fractional)
Tl (0.154, 0.308, 0.000)
Tl (0.154, 0.846, 0.000)
Tl (0.308, 0.154, 0.500)
Tl (0.333, 0.667, 0.801)
Tl (0.667, 0.333, 0.301)
Tl (0.692, 0.846, 0.000)
Tl (0.846, 0.154, 0.500)
Tl (0.846, 0.692, 0.500)
Sn (0.050, 0.525, 0.272)
Sn (0.218, 0.436, 0.516)
Sn (0.218, 0.782, 0.516)
Sn (0.436, 0.218, 0.016)
Sn (0.475, 0.525, 0.272)
Sn (0.475, 0.950, 0.272)
Sn (0.525, 0.050, 0.772)
Sn (0.525, 0.475, 0.772)
Sn (0.564, 0.782, 0.516)
Sn (0.782, 0.218, 0.016)
Sn (0.782, 0.564, 0.016)
Sn (0.950, 0.475, 0.772)
Au (0.333, 0.667, 0.112)
Au (0.667, 0.333, 0.612)

Computed, not measured: a relaxed La3MgTi crystal at the PBE level of DFT.

Properties
Crystal system = cubic
Energy relative to the lowest polymorph listed for this composition = 0 meV per atom
Formation energy = 0.37 eV/atom
DOS(E_F) = 1.554 states/eV per atom
Space-group type = Pm-3m
Calculated volume = 175.3 Å³ per cell

a = 5.597 Å, b = 5.597 Å, c = 5.597 Å
α = 90.00°, β = 90.00°, γ = 90.00°
Element x y z (fractional)
La (0.000, 0.000, 0.500)
La (0.000, 0.500, 0.000)
La (0.500, 0.000, 0.000)
Mg (0.500, 0.500, 0.500)
Ti (0.000, 0.000, 0.000)

calculated volume of number 1 (Tl4Sn6Au)?
732.4 Å³ per cell